No. 1
K3Hg2As2: optimized geometry, PBE.

final energy = -0.0818 hartree per atom
energy relative to the elements = -341 meV per atom
magnetization = 0.0 μB/cell

a = 5.1958 Å, b = 4.5837 Å, c = 10.5700 Å
α = 102.52°, β = 104.23°, γ = 90.00°
Element x y z (fractional)
Hg: 0.4269 0.4269 0.8539
Hg: 0.5731 0.5731 0.1461
K: 0.0000 0.0000 0.0000
K: 0.1904 0.6904 0.3809
K: 0.8096 0.3096 0.6191
As: 0.3620 0.8620 0.7241
As: 0.6380 0.1380 0.2759

---

No. 2
AcCuTc: optimized geometry, PBE.

final energy = -0.2165 hartree per atom
energy relative to the elements = 298 meV per atom
magnetization = 0.0 μB/cell

a = 3.8257 Å, b = 3.4227 Å, c = 10.6696 Å
α = 80.77°, β = 90.00°, γ = 90.00°
Element x y z (fractional)
Cu: 0.2500 0.4671 0.0659
Cu: 0.7500 0.5329 0.9341
Ac: 0.7500 0.8824 0.2353
Ac: 0.2500 0.1176 0.7647
Tc: 0.7500 0.7393 0.5214
Tc: 0.2500 0.2607 0.4786

---

No. 3
Tb2SmSc6: optimized geometry, PBE.

final energy = -0.2098 hartree per atom
energy relative to the elements = 65 meV per atom
magnetization = 0.0 μB/cell

a = 3.2782 Å, b = 9.2490 Å, c = 9.8042 Å
α = 118.14°, β = 109.50°, γ = 90.00°
Element x y z (fractional)
Sc: 0.1643 0.6657 0.6656
Sc: 0.8357 0.3343 0.3344
Sc: 0.8357 0.0000 0.3344
Sc: 0.5000 0.6656 0.0000
Sc: 0.1643 0.0000 0.6656
Sc: 0.5000 0.3344 0.0000
Sm: 0.0000 0.0000 0.0000
Tb: 0.3334 0.6667 0.3334
Tb: 0.6666 0.3333 0.6666